Pr2Er2Cd15: optimized geometry, PBE.

The space group is R-3m (No. 166, hexagonal axes) and the conventional cell measures 10.0897, 10.0897 and 15.8970 Å, with angles of 90.00, 90.00 and 120.00 degrees. The distinct sites, in fractional coordinates, are Pr at (0.0000, 0.0000, 0.1720), Er at (0.0000, 0.0000, 0.4013), Cd at (0.0000, 0.2918, 0.5000), Cd at (0.0000, 0.5000, 0.0000) and Cd at (0.0136, 0.5068, 0.6369).

As for the density of states at the Fermi level: 31.79 states/eV per cell. Its formation energy is -150.0 meV per atom. For the total moment, the calculation gives 0.0 μB/f.u.

PrErCd: optimized geometry, PBE.

The space group is I4mm (No. 107) and the conventional cell measures 3.678, 3.678 and 13.082 Å, with angles of 90.00, 90.00 and 90.00 degrees. The distinct sites, in fractional coordinates, are Pr at (0.000, 0.000, 0.000), Er at (0.000, 0.000, 0.312) and Cd at (0.000, 0.000, 0.669).

As for the density of states at the Fermi level: 7.17 states/eV per cell. The energy above the most stable polymorph in this dataset is 0 meV/atom. Its formation energy is -192.3 meV per atom. For the total moment, the calculation gives 0.6 μB/f.u.

Pr7Er12Cd: optimized geometry, PBE.

The space group is R-3 (No. 148, hexagonal axes) and the conventional cell measures 12.2543, 12.2543 and 15.3596 Å, with angles of 90.00, 90.00 and 120.00 degrees. The distinct sites, in fractional coordinates, are Pr at (0.0000, 0.0000, 0.0000), Pr at (0.0103, 0.4311, 0.7040), Er at (0.0323, 0.1859, 0.8082), Er at (0.0695, 0.8147, 0.4229) and Cd at (0.0000, 0.0000, 0.5000).

As for the density of states at the Fermi level: 97.55 states/eV per cell. Its formation energy is 183.9 meV per atom. For the total moment, the calculation gives 0.0 μB/f.u.

Pr12Er3Cd: optimized geometry, PBE.

The space group is P4/mmm (No. 123) and the conventional cell measures 5.129, 5.129 and 20.684 Å, with angles of 90.00, 90.00 and 90.00 degrees. The distinct sites, in fractional coordinates, are Pr at (0.000, 0.000, 0.000), Pr at (0.000, 0.000, 0.247), Pr at (0.000, 0.000, 0.500), Pr at (0.000, 0.500, 0.122), Pr at (0.000, 0.500, 0.374), Er at (0.500, 0.500, 0.248), Er at (0.500, 0.500, 0.500) and Cd at (0.500, 0.500, 0.000).

As for the density of states at the Fermi level: 21.95 states/eV per cell. Its formation energy is -14.9 meV per atom. For the total moment, the calculation gives 0.0 μB/f.u.

Pr12Er6Cd: optimized geometry, PBE.

The space group is R-3m (No. 166, hexagonal axes) and the conventional cell measures 13.2427, 13.2427 and 12.9621 Å, with angles of 90.00, 90.00 and 120.00 degrees. The distinct sites, in fractional coordinates, are Pr at (0.0000, 0.2590, 0.0000), Pr at (0.0594, 0.5297, 0.1107), Er at (0.0892, 0.1784, 0.7726) and Cd at (0.0000, 0.0000, 0.0000).

As for the density of states at the Fermi level: 74.61 states/eV per cell. Its formation energy is 115.2 meV per atom. For the total moment, the calculation gives 0.0 μB/f.u.

Pr2ErCd: optimized geometry, PBE.

The space group is I4/mmm (No. 139) and the conventional cell measures 5.255, 5.255 and 18.002 Å, with angles of 90.00, 90.00 and 90.00 degrees. The distinct sites, in fractional coordinates, are Pr at (0.000, 0.000, 0.137), Pr at (0.000, 0.500, 0.000), Er at (0.000, 0.000, 0.357) and Cd at (0.000, 0.500, 0.250).

As for the density of states at the Fermi level: 16.06 states/eV per cell. The energy above the most stable polymorph in this dataset is 0 meV/atom. Its formation energy is -149.7 meV per atom. For the total moment, the calculation gives 0.0 μB/f.u.

Pr12Er7Cd: optimized geometry, PBE.

The space group is Im-3 (No. 204) and the conventional cell measures 11.550, 11.550 and 11.550 Å, with angles of 90.00, 90.00 and 90.00 degrees. The distinct sites, in fractional coordinates, are Pr at (0.000, 0.277, 0.215), Er at (0.000, 0.000, 0.500), Er at (0.250, 0.250, 0.250) and Cd at (0.000, 0.000, 0.000).

As for the density of states at the Fermi level: 48.00 states/eV per cell. Its formation energy is 679.1 meV per atom. For the total moment, the calculation gives 0.0 μB/f.u.

PrErCdRh: optimized geometry, PBE.

The space group is F-43m (No. 216) and the conventional cell measures 7.271, 7.271 and 7.271 Å, with angles of 90.00, 90.00 and 90.00 degrees. The distinct sites, in fractional coordinates, are Pr at (0.000, 0.000, 0.000), Er at (0.000, 0.000, 0.500), Cd at (0.250, 0.250, 0.750) and Rh at (0.250, 0.250, 0.250).

As for the density of states at the Fermi level: 9.23 states/eV per cell. Its formation energy is -462.3 meV per atom. For the total moment, the calculation gives 0.0 μB/f.u.

PrErCdRu: optimized geometry, PBE.

The space group is P4mm (No. 99) and the conventional cell measures 3.513, 3.513 and 7.809 Å, with angles of 90.00, 90.00 and 90.00 degrees. The distinct sites, in fractional coordinates, are Pr at (0.000, 0.000, 0.000), Er at (0.000, 0.000, 0.568), Cd at (0.500, 0.500, 0.303) and Ru at (0.500, 0.500, 0.767).

As for the density of states at the Fermi level: 3.92 states/eV per cell. The energy above the most stable polymorph in this dataset is 0 meV/atom. Its formation energy is -316.2 meV per atom. For the total moment, the calculation gives 0.0 μB/f.u.

PrErCdRu: optimized geometry, PBE.

The space group is F-43m (No. 216) and the conventional cell measures 7.236, 7.236 and 7.236 Å, with angles of 90.00, 90.00 and 90.00 degrees. The distinct sites, in fractional coordinates, are Pr at (0.000, 0.000, 0.000), Er at (0.000, 0.000, 0.500), Cd at (0.250, 0.250, 0.250) and Ru at (0.250, 0.250, 0.750).

As for the density of states at the Fermi level: 13.42 states/eV per cell. The energy above the most stable polymorph in this dataset is 109 meV/atom. Its formation energy is -207.0 meV per atom. For the total moment, the calculation gives 0.0 μB/f.u.

PrErScCd: optimized geometry, PBE.

The space group is F-43m (No. 216) and the conventional cell measures 7.642, 7.642 and 7.642 Å, with angles of 90.00, 90.00 and 90.00 degrees. The distinct sites, in fractional coordinates, are Pr at (0.000, 0.000, 0.000), Er at (0.000, 0.000, 0.500), Sc at (0.250, 0.250, 0.750) and Cd at (0.250, 0.250, 0.250).

As for the density of states at the Fermi level: 19.95 states/eV per cell. Its formation energy is -43.7 meV per atom. For the total moment, the calculation gives 0.1 μB/f.u.

PrErSc2Cd4: optimized geometry, PBE.

The space group is R-3m (No. 166, hexagonal axes) and the conventional cell measures 5.1901, 5.1901 and 25.5877 Å, with angles of 90.00, 90.00 and 120.00 degrees. The distinct sites, in fractional coordinates, are Pr at (0.0000, 0.0000, 0.0000), Er at (0.0000, 0.0000, 0.5000), Sc at (0.0000, 0.0000, 0.2487), Cd at (0.0000, 0.0000, 0.1273) and Cd at (0.0000, 0.0000, 0.3782).

As for the density of states at the Fermi level: 24.28 states/eV per cell. Its formation energy is -282.5 meV per atom. For the total moment, the calculation gives 0.7 μB/f.u.